This record from the Alexandria database describes K2ZrMnC after structural relaxation. The functional is PBE.

abc: 6.2666 6.2666 3.7255
angles: 90.00 90.00 90.00
Space group P4/mmm (No. 123)
Inequivalent atoms, fractional coordinates:
K 0.0000 0.5000 0.0000
Zr 0.0000 0.0000 0.5000
Mn 0.5000 0.5000 0.5000
C 0.5000 0.5000 0.0000

Results
As for the energy relative to the elements: 1270.4 meV per atom.